Entry 1:
Entry from Alexandria via LeMat-Bulk: a relaxed structure of Tl2SbTe3 (PBE).

The symmetry is C2/c (15). The formation energy without anion corrections comes out at -0.13 eV per atom. The distance to the lowest polymorph of the same formula is 1.38 kcal/mol of atoms.

POSCAR file:
```
Tl2SbTe3
1.0
5.9528 -4.5315 0.0000
5.9528 4.5315 0.0000
-0.9005 0.0000 8.0372
Tl Sb Te
4 2 6
direct
0.0013 0.3043 0.1159
0.3043 0.0013 0.6159
0.6957 0.9987 0.3841
0.9987 0.6957 0.8841
0.4252 0.5748 0.2500
0.5748 0.4252 0.7500
0.1007 0.8993 0.2500
0.2364 0.4448 0.5292
0.4448 0.2364 0.0292
0.5552 0.7636 0.9708
0.7636 0.5552 0.4708
0.8993 0.1007 0.7500
```

=====

Entry 2:
Entry from Alexandria via LeMat-Bulk: a relaxed structure of Pm4Sm3Y2 (PBE).

The symmetry is C2/c (15). The distance to the lowest polymorph of the same formula is 1.73 kcal/mol of atoms. As for the formation energy: 0.09 eV/atom.

POSCAR file:
```
Pm4Sm3Y2
1.0
8.3324 -5.8845 0.0000
8.3324 5.8845 0.0000
-0.6786 0.0000 6.1697
Pm Sm Y
8 6 4
direct
0.0919 0.8144 0.9869
0.1446 0.4301 0.1555
0.1856 0.9081 0.5131
0.4301 0.1446 0.6555
0.5699 0.8554 0.3445
0.8144 0.0919 0.4869
0.8554 0.5699 0.8445
0.9081 0.1856 0.0131
0.0698 0.2656 0.5749
0.2656 0.0698 0.0749
0.3995 0.6005 0.2500
0.6005 0.3995 0.7500
0.7344 0.9302 0.9251
0.9302 0.7344 0.4251
0.2453 0.5180 0.6856
0.4820 0.7547 0.8144
0.5180 0.2453 0.1856
0.7547 0.4820 0.3144
```

=====

Entry 3:
Entry from Alexandria via LeMat-Bulk: a relaxed structure of Mg3PtRh2 (PBE).

The symmetry is P4/mmm (123). The distance to the lowest polymorph of the same formula is 0.30 kcal/mol of atoms. As for the formation energy: -0.61 eV/atom.

POSCAR file:
```
Mg3PtRh2
1.0
3.1361 0.0000 0.0000
0.0000 3.1361 0.0000
0.0000 0.0000 9.3621
Mg Pt Rh
3 1 2
direct
0.0000 0.0000 0.0000
0.0000 0.0000 0.3264
0.0000 0.0000 0.6736
0.5000 0.5000 0.5000
0.5000 0.5000 0.1643
0.5000 0.5000 0.8357
```

=====

| no. | calculated volume (Å³/f.u.) |
| --- | --- |
| 1 | 216.8 |
| 2 | 302.5 |
| 3 | 92.1 |